[1]
Computed, not measured: crystalline LiHfPt2 at its relaxed geometry at the PBE level of DFT.

Lattice parameters (Å, degrees): 4.5125 4.5125 4.5125 60.00 60.00 60.00
With the nearest neighbours (Å) after each atom.
Element x y z (fractional)
Li 0.0000 0.0000 0.0000  8 Pt 2.76
Hf 0.5000 0.5000 0.5000  8 Pt 2.76
Pt 0.7500 0.7500 0.7500  4 Li 2.76, 4 Hf 2.76
Pt 0.2500 0.2500 0.2500  4 Hf 2.76, 4 Li 2.76

Summary:
The energy above the most stable polymorph in this dataset comes out at 0.0 kJ per mole of atoms. The total energy is -6.95 eV/atom. The energy of formation comes out at -960 meV per atom. The symmetry is Fm-3m.

***

[2]
Computed, not measured: crystalline Dy2ThMgHg4 at its relaxed geometry at the PBE level of DFT.

Lattice parameters (Å, degrees): 5.1108 5.1108 9.5015 74.40 74.40 60.00
With the nearest neighbours (Å) after each atom.
Element x y z (fractional)
Hg 0.8723 0.8723 0.3831  4 Dy 3.12, 3 Mg 3.13, 1 Th 3.46
Hg 0.3805 0.3805 0.8585  3 Dy 3.18, 3 Th 3.22, 1 Mg 3.24
Hg 0.1277 0.1277 0.6169  4 Dy 3.12, 3 Mg 3.13, 1 Th 3.46
Hg 0.6195 0.6195 0.1415  3 Dy 3.18, 3 Th 3.22, 1 Mg 3.24
Th 0.0000 0.0000 0.0000  8 Hg 3.22-3.46
Mg 0.5000 0.5000 0.5000  8 Hg 3.13-3.24
Dy 0.2427 0.2427 0.2719  7 Hg 3.12-3.18
Dy 0.7573 0.7573 0.7281  7 Hg 3.12-3.18

Summary:
The total energy is -2.79 eV/atom. The energy of formation comes out at -363 meV per atom. The symmetry is R-3m.

***

[3]
Computed, not measured: crystalline RbAcAu2 at its relaxed geometry at the PBE level of DFT.

Lattice parameters (Å, degrees): 4.5504 4.5504 8.8332 75.07 75.07 60.00
With the nearest neighbours (Å) after each atom.
Element x y z (fractional)
Au 0.2644 0.2644 0.2068  3 Ac 3.15
Au 0.7356 0.7356 0.7932  3 Ac 3.15
Ac 0.0000 0.0000 0.0000  6 Au 3.15
Rb 0.5000 0.5000 0.5000  6 Au 3.61

Summary:
The total energy is -3.40 eV/atom. The energy of formation comes out at -493 meV per atom. The symmetry is R-3m.

***

[4]
Computed, not measured: crystalline NaP2PbS at its relaxed geometry at the PBE level of DFT.

Lattice parameters (Å, degrees): 4.9294 4.9294 5.0311 90.00 90.00 90.00
With the nearest neighbours (Å) after each atom.
Element x y z (fractional)
Na 0.0000 0.0000 0.0000  4 P 2.46, 2 S 2.52
P 0.5000 0.0000 0.0000  2 Na 2.46
P 0.0000 0.5000 0.0000  2 Na 2.46
S 0.0000 0.0000 0.5000  2 Na 2.52
Pb 0.5000 0.5000 0.5000  4 S 3.49, 8 P 3.52

Summary:
The energy relative to the elements, uncorrected comes out at 0.93 eV per atom. The energy above the most stable polymorph in this dataset comes out at 21.5 kJ per mole of atoms. The total energy is -3.07 eV/atom. The symmetry is P4/mmm.

***

[5]
Computed, not measured: crystalline Li2Ca8Tl at its relaxed geometry at the PBE level of DFT.

Lattice parameters (Å, degrees): 5.4994 9.3393 9.3522 119.95 107.10 90.00
With the nearest neighbours (Å) after each atom.
Element x y z (fractional)
Ca 0.8658 0.8658 0.7316  2 Tl 3.43, 8 Ca 3.56-3.80, 2 Li 3.78
Ca 0.3434 0.5652 0.6867  3 Li 3.43-3.50, 1 Tl 3.53, 5 Ca 3.66-3.80
Ca 0.1342 0.1342 0.2684  2 Tl 3.43, 8 Ca 3.56-3.80, 2 Li 3.78
Ca 0.6566 0.8785 0.3133  3 Li 3.43-3.49, 1 Tl 3.53, 5 Ca 3.66-3.80
Ca 0.6566 0.4348 0.3133  3 Li 3.43-3.50, 1 Tl 3.53, 5 Ca 3.66-3.80
Ca 0.0000 0.6874 0.0000  2 Li 3.46, 7 Ca 3.50-3.66
Ca 0.0000 0.3126 0.0000  2 Li 3.46, 7 Ca 3.50-3.66
Ca 0.3434 0.1215 0.6867  3 Li 3.43-3.49, 1 Tl 3.53, 5 Ca 3.66-3.80
Li 0.8039 0.3039 0.6079  10 Ca 3.43-3.78
Li 0.1961 0.6961 0.3921  10 Ca 3.43-3.78
Tl 0.5000 0.0000 0.0000  8 Ca 3.43-3.53

Summary:
The energy above the most stable polymorph in this dataset comes out at 0.0 kJ per mole of atoms. The total energy is -2.04 eV/atom. The energy of formation comes out at -25 meV per atom. The symmetry is Immm.

***

[6]
Computed, not measured: crystalline TmO5 at its relaxed geometry at the PBE level of DFT.

Lattice parameters (Å, degrees): 3.5915 3.5995 9.4936 103.00 90.00 119.93
With the nearest neighbours (Å) after each atom.
Element x y z (fractional)
O 0.7097 0.4194 0.2668  1 O 1.35
O 0.5088 0.0176 0.7480  1 O 1.23
O 0.9237 0.8474 0.3464  1 O 1.35
O 0.3726 0.7452 0.6278  1 O 1.23
O 0.3135 0.6270 0.0557  3 Tm 2.16-2.17
Tm 0.0050 0.0101 0.1220  6 O 2.16-2.42

Summary:
The energy relative to the elements, uncorrected comes out at -1.30 eV per atom. The total energy is -6.17 eV/atom. The symmetry is Cm.

***

[7]
Computed, not measured: crystalline Sr3Al8Zn3 at its relaxed geometry at the PBE level of DFT.

Lattice parameters (Å, degrees): 4.5547 8.5774 8.5774 72.82 74.60 74.60
With the nearest neighbours (Å) after each atom.
Element x y z (fractional)
Sr 0.8071 0.1929 0.1929  4 Zn 3.26-3.39, 10 Al 3.28-3.62
Sr 0.5000 0.5000 0.5000  12 Al 3.35-3.39
Sr 0.1929 0.8071 0.8071  4 Zn 3.26-3.39, 10 Al 3.28-3.62
Zn 0.0000 0.7955 0.2045  6 Al 2.65-2.89
Zn 0.0000 0.2045 0.7955  6 Al 2.65-2.89
Zn 0.5000 0.0000 0.0000  4 Al 2.85, 4 Zn 3.09
Al 0.8393 0.5248 0.7966  1 Zn 2.65, 4 Al 2.73-2.79
Al 0.6357 0.6443 0.0843  3 Al 2.73-2.79, 3 Zn 2.85-2.89
Al 0.6357 0.0843 0.6443  3 Al 2.73-2.79, 3 Zn 2.85-2.89
Al 0.3643 0.9157 0.3557  3 Al 2.73-2.79, 3 Zn 2.85-2.89
Al 0.3643 0.3557 0.9157  3 Al 2.73-2.79, 3 Zn 2.85-2.89
Al 0.8393 0.7966 0.5248  1 Zn 2.65, 4 Al 2.73-2.79
Al 0.1607 0.4752 0.2034  1 Zn 2.65, 4 Al 2.73-2.79
Al 0.1607 0.2034 0.4752  1 Zn 2.65, 4 Al 2.73-2.79

Summary:
The total energy is -2.96 eV/atom. The energy of formation comes out at -188 meV per atom. The symmetry is Immm.

***

[8]
Computed, not measured: crystalline CaIn4PbS8 at its relaxed geometry at the PBE level of DFT.

Lattice parameters (Å, degrees): 7.9051 7.9051 8.1241 60.89 60.89 60.00
With the nearest neighbours (Å) after each atom.
Element x y z (fractional)
S 0.2242 0.7539 0.2679  3 In 2.55-2.74, 1 Ca 2.85
S 0.7539 0.2242 0.2679  3 In 2.55-2.74, 1 Ca 2.85
S 0.7894 0.2475 0.7157  2 In 2.60, 1 Pb 2.70, 1 Ca 2.79
S 0.2475 0.7894 0.7157  2 In 2.60, 1 Pb 2.70, 1 Ca 2.79
S 0.2330 0.2330 0.3010  3 In 2.63, 1 Pb 2.85
S 0.7587 0.7587 0.7239  4 In 2.75-2.85
S 0.7539 0.7539 0.2679  3 In 2.55-2.74, 1 Ca 2.85
S 0.2475 0.2475 0.7157  2 In 2.60, 1 Pb 2.70, 1 Ca 2.79
In 0.0015 0.0015 0.5030  6 S 2.60-2.75
In 0.0015 0.4940 0.5030  6 S 2.60-2.75
In 0.4940 0.0015 0.5030  6 S 2.60-2.75
In 0.6174 0.6174 0.1477  4 S 2.55-2.85
Ca 0.0034 0.0034 0.9899  6 S 2.79-2.85
Pb 0.3741 0.3741 0.8776  4 S 2.70-2.85

Summary:
The energy relative to the elements, uncorrected comes out at -0.71 eV per atom. The total energy is -4.26 eV/atom. The symmetry is R3m.